{"formula": "LiGdGaAg", "functional": "PBE", "state": "optimized geometry", "lattice_angstrom": [[0.000, 3.375, 3.375], [3.375, 0.000, 3.375], [3.375, 3.375, 0.000]], "species": ["Li", "Gd", "Ga", "Ag"], "fractional_positions": [[0.000, 0.000, 0.000], [0.750, 0.750, 0.750], [0.500, 0.500, 0.500], [0.250, 0.250, 0.250]], "total_energy_ev_per_fu": -23.25, "m_tot_mub_per_cell": 7.1, "delta_e_f_ev_per_atom": -0.345, "crystal_system": "cubic", "sg": "F-43m, No. 216"}

=====

{"formula": "GdMgGaAg", "functional": "PBE", "state": "optimized geometry", "lattice_angstrom": [[0.000, 3.493, 3.493], [3.493, 0.000, 3.493], [3.493, 3.493, 0.000]], "species": ["Gd", "Mg", "Ga", "Ag"], "fractional_positions": [[0.000, 0.000, 0.000], [0.500, 0.500, 0.500], [0.750, 0.750, 0.750], [0.250, 0.250, 0.250]], "total_energy_ev_per_fu": -23.17, "m_tot_mub_per_cell": 7.1, "delta_e_f_ev_per_atom": -0.404, "crystal_system": "cubic", "sg": "F-43m, No. 216"}

=====

{"formula": "GdGaAgPd", "functional": "PBE", "state": "optimized geometry", "lattice_angstrom": [[0.000, 3.397, 3.397], [3.397, 0.000, 3.397], [3.397, 3.397, 0.000]], "species": ["Gd", "Ga", "Ag", "Pd"], "fractional_positions": [[0.000, 0.000, 0.000], [0.500, 0.500, 0.500], [0.250, 0.250, 0.250], [0.750, 0.750, 0.750]], "total_energy_ev_per_fu": -27.12, "m_tot_mub_per_cell": 7.2, "delta_e_f_ev_per_atom": -0.492, "crystal_system": "cubic", "sg": "F-43m, No. 216"}

=====

{"formula": "PmGdGaAg", "functional": "PBE", "state": "optimized geometry", "lattice_angstrom": [[0.000, 3.683, 3.683], [3.683, 0.000, 3.683], [3.683, 3.683, 0.000]], "species": ["Pm", "Gd", "Ga", "Ag"], "fractional_positions": [[0.000, 0.000, 0.000], [0.500, 0.500, 0.500], [0.250, 0.250, 0.250], [0.750, 0.750, 0.750]], "total_energy_ev_per_fu": -26.46, "m_tot_mub_per_cell": 7.5, "delta_e_f_ev_per_atom": -0.437, "crystal_system": "cubic", "sg": "F-43m, No. 216"}